Material: AcMg2Ru2C
Method: DFT, GGA-PBE
State: relaxed

Calculated values
energy relative to the elements	-28	meV/atom
final energy	-5.87	eV per atom
symmetry	P4/mmm
calculated volume	109.8	Å³/cell
density of states at the Fermi level	0.789	states/eV per atom
crystal system	tetragonal

Cell: 4.233 4.233 6.127 Å, 90.00 90.00 90.00°
Positions (direct):
Mg 0.500 0.500 0.254
Mg 0.500 0.500 0.746
C 0.000 0.000 0.000
Ru 0.000 0.500 0.000
Ru 0.500 0.000 0.000
Ac 0.000 0.000 0.500

Material: CaCo2Tc2
Method: DFT, GGA-PBE
State: relaxed

Calculated values
ΔE to the lowest computed polymorph	108	meV/atom
energy relative to the elements	345	meV/atom
final energy	-7.04	eV per atom
symmetry	I4/mmm
calculated volume	84.1	Å³/cell
density of states at the Fermi level	1.295	states/eV per atom
crystal system	tetragonal

Cell: 4.269 4.269 5.516 Å, 67.23 67.23 90.00°
Positions (direct):
Tc 0.633 0.633 0.734
Ca 0.000 0.000 0.000
Co 0.750 0.250 0.500
Co 0.250 0.750 0.500
Tc 0.367 0.367 0.266

Material: K3ScF8
Method: DFT, GGA-PBE
State: relaxed

Calculated values
final energy	-4.73	eV per atom
symmetry	I4/mmm
calculated volume	209.5	Å³/cell
density of states at the Fermi level	1.001	states/eV per atom
crystal system	tetragonal
uncorrected formation energy	-2.68	eV per atom

Cell: 5.950 5.950 7.261 Å, 114.19 114.19 90.00°
Positions (direct):
F 0.102 0.686 0.788
F 0.314 0.898 0.212
Sc 0.000 0.000 0.000
F 0.102 0.102 0.788
K 0.500 0.500 0.000
F 0.686 0.102 0.788
F 0.898 0.898 0.212
K 0.750 0.250 0.500
K 0.250 0.750 0.500
F 0.686 0.686 0.788
F 0.314 0.314 0.212
F 0.898 0.314 0.212